Density functional theory data (PBE-GGA) for an optimized crystal structure of La2TaSn.

a = 8.6052 Å, b = 8.6052 Å, c = 6.8193 Å
α = 50.88°, β = 50.88°, γ = 90.00°
With the nearest neighbours (Å) after each atom.
Atoms (fractional coordinates):
1 Ta 0.7500 0.2500 0.5000  4 La 3.00, 2 Sn 3.08
2 Ta 0.0000 0.0000 0.0000  4 La 3.00, 2 Sn 3.08
3 La 0.3750 0.3509 0.7500  2 Ta 3.00, 2 La 3.11, 2 Sn 3.28
4 La 0.6491 0.1250 0.2500  2 Ta 3.00, 2 La 3.11, 2 Sn 3.28
5 La 0.8750 0.8991 0.7500  2 Ta 3.00, 2 La 3.11, 2 Sn 3.28
6 La 0.1009 0.6250 0.2500  2 Ta 3.00, 2 La 3.11, 2 Sn 3.28
7 Sn 0.5000 0.5000 0.0000  2 Ta 3.08, 4 La 3.28
8 Sn 0.2500 0.7500 0.5000  2 Ta 3.08, 4 La 3.28

## Properties
Electronic total energy   -6.04 eV per atom
Energy relative to the elements   389 meV/atom